Record 1
Below is a relaxed structure of RuAu2, with properties calculated at the PBE level.

Values from the calculation:
**Total DFT energy (no corrections)**: -29.790 eV per cell
**Space group**: No. 63
**Energy relative to the lowest polymorph listed for this composition**: 0 kJ/mol of formula units
**ΔH_f (0 K)**: 0.94 eV per formula unit

a b c (Å): 7.814 7.814 4.616
angles (deg): 90.00 90.00 159.26
Atoms (fractional coordinates):
Au (0.881, 0.119, 0.750)
Au (0.119, 0.881, 0.250)
Au (0.557, 0.443, 0.750)
Au (0.443, 0.557, 0.250)
Ru (0.225, 0.775, 0.750)
Ru (0.775, 0.225, 0.250)


Record 2
Below is a relaxed structure of Ru2Au, with properties calculated at the PBE level.

Values from the calculation:
**Total DFT energy (no corrections)**: -38.879 eV per cell
**Space group**: No. 140
**Energy relative to the lowest polymorph listed for this composition**: 165 kJ/mol of formula units
**ΔH_f (0 K)**: 2.39 eV per formula unit

a b c (Å): 5.071 5.071 5.071
angles (deg): 106.57 106.57 115.45
Atoms (fractional coordinates):
Ru (0.130, 0.630, 0.760)
Ru (0.870, 0.370, 0.240)
Ru (0.630, 0.870, 0.500)
Ru (0.370, 0.130, 0.500)
Au (0.250, 0.250, 0.000)
Au (0.750, 0.750, 0.000)


Record 3
Below is a relaxed structure of Ru5Au, with properties calculated at the PBE level.

Values from the calculation:
**Total DFT energy (no corrections)**: -45.679 eV per cell
**Space group**: No. 216
**Energy relative to the lowest polymorph listed for this composition**: 267 kJ/mol of formula units
**ΔH_f (0 K)**: 3.98 eV per formula unit

a b c (Å): 5.073 5.073 5.073
angles (deg): 60.00 60.00 60.00
Atoms (fractional coordinates):
Ru (0.375, 0.375, 0.375)
Ru (0.750, 0.750, 0.750)
Ru (0.375, 0.375, 0.874)
Ru (0.375, 0.874, 0.375)
Ru (0.874, 0.375, 0.375)
Au (0.000, 0.000, 0.000)


Record 4
Below is a relaxed structure of RuAu2, with properties calculated at the PBE level.

Values from the calculation:
**Total DFT energy (no corrections)**: -51.390 eV per cell
**Space group**: No. 205
**Energy relative to the lowest polymorph listed for this composition**: 198 kJ/mol of formula units
**ΔH_f (0 K)**: 2.98 eV per formula unit

a b c (Å): 6.257 6.257 6.257
angles (deg): 90.00 90.00 90.00
Atoms (fractional coordinates):
Au (0.368, 0.132, 0.868)
Au (0.368, 0.368, 0.368)
Au (0.632, 0.632, 0.632)
Au (0.132, 0.868, 0.368)
Au (0.632, 0.868, 0.132)
Au (0.132, 0.632, 0.868)
Au (0.868, 0.368, 0.132)
Au (0.868, 0.132, 0.632)
Ru (0.500, 0.000, 0.500)
Ru (0.500, 0.500, 0.000)
Ru (0.000, 0.000, 0.000)
Ru (0.000, 0.500, 0.500)


Record 5
Below is a relaxed structure of RuAu, with properties calculated at the PBE level.

Values from the calculation:
**Total DFT energy (no corrections)**: -23.631 eV per cell
**Space group**: No. 12
**Energy relative to the lowest polymorph listed for this composition**: 37 kJ/mol of formula units
**ΔH_f (0 K)**: 0.74 eV per formula unit

a b c (Å): 6.304 4.835 4.835
angles (deg): 145.94 129.50 59.71
Atoms (fractional coordinates):
Ru (0.637, 0.243, 0.394)
Ru (0.446, 0.507, 0.939)
Au (0.922, 0.997, 0.925)
Au (0.161, 0.753, 0.408)


Record 6
Below is a relaxed structure of RuAu8, with properties calculated at the PBE level.

Values from the calculation:
**Total DFT energy (no corrections)**: -33.988 eV per cell
**Space group**: No. 139
**ΔH_f (0 K)**: 1.51 eV per formula unit

a b c (Å): 7.609 7.609 7.609
angles (deg): 92.03 92.03 158.28
Atoms (fractional coordinates):
Au (0.000, 0.333, 0.333)
Au (0.337, 0.337, 0.674)
Au (0.000, 0.667, 0.667)
Au (0.663, 0.663, 0.326)
Au (0.337, 0.663, 0.000)
Au (0.333, 0.000, 0.333)
Au (0.667, 0.000, 0.667)
Au (0.663, 0.337, 0.000)
Ru (0.000, 0.000, 0.000)


Record 7
Below is a relaxed structure of Ru3AuS, with properties calculated at the PBE level.

Values from the calculation:
**Total DFT energy (no corrections)**: -32.633 eV per cell
**Space group**: No. 221
**Energy relative to the lowest polymorph listed for this composition**: 0 kJ/mol of formula units
**Energy relative to the elements, uncorrected**: 251 kJ/mol of formula units

a b c (Å): 4.347 4.347 4.347
angles (deg): 90.00 90.00 90.00
Atoms (fractional coordinates):
Ru (0.500, 0.000, 0.000)
Ru (0.000, 0.000, 0.500)
Ru (0.000, 0.500, 0.000)
S (0.000, 0.000, 0.000)
Au (0.500, 0.500, 0.500)


Record 8
Below is a relaxed structure of Ru3AuS, with properties calculated at the PBE level.

Values from the calculation:
**Total DFT energy (no corrections)**: -23.766 eV per cell
**Space group**: No. 221
**Energy relative to the lowest polymorph listed for this composition**: 856 kJ/mol of formula units
**Energy relative to the elements, uncorrected**: 1106 kJ/mol of formula units

a b c (Å): 4.930 4.930 4.930
angles (deg): 90.00 90.00 90.00
Atoms (fractional coordinates):
Ru (0.000, 0.000, 0.500)
Ru (0.500, 0.000, 0.000)
Ru (0.000, 0.500, 0.000)
Au (0.000, 0.000, 0.000)
S (0.500, 0.500, 0.500)


Record 9
Below is a relaxed structure of SbRuAuS2, with properties calculated at the PBE level.

Values from the calculation:
**Total DFT energy (no corrections)**: -18.523 eV per cell
**Space group**: No. 123
**Energy relative to the elements, uncorrected**: 618 kJ/mol of formula units

a b c (Å): 4.754 5.441 4.754
angles (deg): 90.00 90.00 90.00
Atoms (fractional coordinates):
Ru (0.500, 0.500, 0.500)
S (0.000, 0.000, 0.500)
S (0.500, 0.000, 0.000)
Au (0.000, 0.000, 0.000)
Sb (0.000, 0.500, 0.000)


Record 10
Below is a relaxed structure of RuAuSe2S, with properties calculated at the PBE level.

Values from the calculation:
**Total DFT energy (no corrections)**: -19.058 eV per cell
**Space group**: No. 123
**Energy relative to the elements, uncorrected**: 443 kJ/mol of formula units

a b c (Å): 4.936 4.353 4.936
angles (deg): 90.00 90.00 90.00
Atoms (fractional coordinates):
Se (0.500, 0.000, 0.000)
Se (0.000, 0.000, 0.500)
S (0.000, 0.000, 0.000)
Ru (0.000, 0.500, 0.000)
Au (0.500, 0.500, 0.500)


Record 11
Below is a relaxed structure of TaRuAu2S, with properties calculated at the PBE level.

Values from the calculation:
**Total DFT energy (no corrections)**: -26.410 eV per cell
**Space group**: No. 123
**Energy relative to the elements, uncorrected**: 521 kJ/mol of formula units

a b c (Å): 5.168 4.573 5.168
angles (deg): 90.00 90.00 90.00
Atoms (fractional coordinates):
Au (0.000, 0.000, 0.500)
Au (0.500, 0.000, 0.000)
S (0.000, 0.500, 0.000)
Ta (0.000, 0.000, 0.000)
Ru (0.500, 0.500, 0.500)


Record 12
Below is a relaxed structure of TeRuAu2S, with properties calculated at the PBE level.

Values from the calculation:
**Total DFT energy (no corrections)**: -16.405 eV per cell
**Space group**: No. 123
**Energy relative to the elements, uncorrected**: 646 kJ/mol of formula units

a b c (Å): 5.137 5.190 5.137
angles (deg): 90.00 90.00 90.00
Atoms (fractional coordinates):
Ru (0.500, 0.500, 0.500)
Au (0.500, 0.000, 0.000)
Au (0.000, 0.000, 0.500)
Te (0.000, 0.000, 0.000)
S (0.000, 0.500, 0.000)


What did the tenth record say?
Below is a relaxed structure of RuAuSe2S, with properties calculated at the PBE level.

Values from the calculation:
**Total DFT energy (no corrections)**: -19.058 eV per cell
**Space group**: No. 123
**Energy relative to the elements, uncorrected**: 443 kJ/mol of formula units

a b c (Å): 4.936 4.353 4.936
angles (deg): 90.00 90.00 90.00
Atoms (fractional coordinates):
Se (0.500, 0.000, 0.000)
Se (0.000, 0.000, 0.500)
S (0.000, 0.000, 0.000)
Ru (0.000, 0.500, 0.000)
Au (0.500, 0.500, 0.500)


What did the eighth record say?
Below is a relaxed structure of Ru3AuS, with properties calculated at the PBE level.

Values from the calculation:
**Total DFT energy (no corrections)**: -23.766 eV per cell
**Space group**: No. 221
**Energy relative to the lowest polymorph listed for this composition**: 856 kJ/mol of formula units
**Energy relative to the elements, uncorrected**: 1106 kJ/mol of formula units

a b c (Å): 4.930 4.930 4.930
angles (deg): 90.00 90.00 90.00
Atoms (fractional coordinates):
Ru (0.000, 0.000, 0.500)
Ru (0.500, 0.000, 0.000)
Ru (0.000, 0.500, 0.000)
Au (0.000, 0.000, 0.000)
S (0.500, 0.500, 0.500)